No. 1
First-principles (GGA-PBE) data for a relaxed structure of GaTe, as listed in Alexandria.

```
GaTe
1.0
8.0702 0.0000 0.0000
0.0000 8.0702 0.0000
0.0000 0.0000 8.0702
Ga Te
6 6
Direct
0.0000 0.2500 0.5000 Ga
0.0000 0.7500 0.5000 Ga
0.2500 0.5000 0.0000 Ga
0.5000 0.0000 0.2500 Ga
0.5000 0.0000 0.7500 Ga
0.7500 0.5000 0.0000 Ga
0.0000 0.5000 0.2500 Te
0.0000 0.5000 0.7500 Te
0.2500 0.0000 0.5000 Te
0.5000 0.2500 0.0000 Te
0.5000 0.7500 0.0000 Te
0.7500 0.0000 0.5000 Te
```

- M_tot (μB per cell) = 0.0
- Fermi-level density of states (states/eV/f.u.) = 2.5
- space group = Pm-3n, No. 223
- uncorrected energy (eV per atom) = -3.086
- crystal system = cubic
- ΔE_f (raw) (eV per atom) = 0.00

---

No. 2
First-principles (GGA-PBE) data for a relaxed structure of GaTe, as listed in Alexandria.

```
GaTe
1.0
7.1573 0.0000 0.0000
0.0000 8.3674 0.0000
0.0000 0.0000 8.4527
Ga Te
8 8
Direct
0.1200 0.1854 0.3676 Ga
0.2376 0.4483 0.9004 Ga
0.2624 0.5517 0.4004 Ga
0.3800 0.8146 0.8676 Ga
0.6200 0.3146 0.6324 Ga
0.7376 0.0517 0.0996 Ga
0.7624 0.9483 0.5996 Ga
0.8800 0.6854 0.1325 Ga
0.0101 0.7648 0.8449 Te
0.0477 0.8615 0.3625 Te
0.4523 0.1385 0.8625 Te
0.4899 0.2352 0.3449 Te
0.5101 0.7352 0.1551 Te
0.5477 0.6385 0.6375 Te
0.9523 0.3615 0.1375 Te
0.9899 0.2648 0.6551 Te
```

- M_tot (μB per cell) = 0.0
- Fermi-level density of states (states/eV/f.u.) = 0.2
- space group = P2_12_12_1, No. 19
- uncorrected energy (eV per atom) = -3.254
- crystal system = orthorhombic
- ΔE_f (raw) (eV per atom) = -0.17

---

No. 3
First-principles (GGA-PBE) data for a relaxed structure of GaTe, as listed in Alexandria.

```
GaTe
1.0
5.2238 0.0000 0.0000
0.0000 4.1136 0.0000
-1.9269 0.0000 4.8611
Ga Te
2 2
Direct
0.1198 0.2500 0.3820 Ga
0.8802 0.7500 0.6180 Ga
0.3457 0.7500 0.1537 Te
0.6543 0.2500 0.8463 Te
```

- M_tot (μB per cell) = 0.0
- Fermi-level density of states (states/eV/f.u.) = 0.7
- space group = P2_1/m, No. 11
- uncorrected energy (eV per atom) = -3.211
- crystal system = monoclinic
- ΔE_f (raw) (eV per atom) = -0.13

---

No. 4
First-principles (GGA-PBE) data for a relaxed structure of Ga2Te3, as listed in Alexandria.

```
Ga2Te3
1.0
2.1075 1.2168 8.8129
-2.1075 1.2168 8.8129
0.0000 -2.4336 8.8129
Ga Te
2 3
Direct
0.1915 0.1915 0.1915 Ga
0.8085 0.8085 0.8085 Ga
0.0000 0.0000 0.0000 Te
0.4126 0.4126 0.4126 Te
0.5874 0.5874 0.5874 Te
```

- M_tot (μB per cell) = 0.0
- Fermi-level density of states (states/eV/f.u.) = 3.3
- space group = R-3m, No. 166
- uncorrected energy (eV per atom) = -3.087
- crystal system = trigonal
- ΔE_f (raw) (eV per atom) = 0.01